Here is crystalline PrY3Ho3 at its relaxed geometry from the Alexandria database. Energies are from PBE.

Cell lengths 8.217, 6.337, 6.337 Å; angles 102.70, 115.61, 115.61 degrees
Positions (direct):
Y: 0.015 0.600 0.600
Y: 0.415 0.400 0.000
Ho: 0.973 0.000 0.352
Ho: 0.622 0.648 0.648
Ho: 0.973 0.352 0.000
Pr: 0.562 0.000 0.000
Y: 0.415 0.000 0.400

Results
- Energy relative to the lowest polymorph listed for this composition: 32.7 meV/atom
- Total magnetic moment: 0.000 μB/f.u.
- Fermi-level density of states: 1.573 states/eV per atom
- ΔE_f: 244 meV per atom